No. 1
Entry from the Alexandria database: a relaxed structure of SmReMo (GGA-PBE).

The structure belongs to space group Fddd (No. 70, origin choice 2); the cell edges are 5.274, 9.076 and 20.660 Å and the angles 90.00°, 90.00° and 90.00°. The distinct sites, in fractional coordinates, are Sm at (0.125, 0.296, 0.125), Re at (0.125, 0.125, 0.000) and Mo at (0.125, 0.125, 0.536).

Its formation energy is 0.39 eV/atom. Its calculated volume is 989 Å³/cell. The raw total energy comes out at -8.938 eV per atom.

***

No. 2
Entry from the Alexandria database: a relaxed structure of PmHf2MnN4 (GGA-PBE).

The structure belongs to space group Cmcm (No. 63); the cell edges are 3.238, 11.024 and 11.014 Å and the angles 90.00°, 90.00° and 90.00°. The distinct sites, in fractional coordinates, are Pm at (0.000, 0.104, 0.250), Hf at (0.000, 0.368, 0.049), Mn at (0.000, 0.158, 0.750), N at (0.000, 0.000, 0.000), N at (0.000, 0.265, 0.615) and N at (0.000, 0.432, 0.250).

As for the formation energy (no corrections): -10.77 eV/f.u. Its calculated volume is 393 Å³/cell. The raw total energy comes out at -9.737 eV per atom.

***

No. 3
Entry from the Alexandria database: a relaxed structure of La2MgTe2 (GGA-PBE).

The structure belongs to space group P4/mbm (No. 127); the cell edges are 8.687, 8.687 and 4.169 Å and the angles 90.00°, 90.00° and 90.00°. The distinct sites, in fractional coordinates, are La at (0.155, 0.345, 0.000), Mg at (0.000, 0.000, 0.500) and Te at (0.145, 0.645, 0.500).

As for the formation energy (no corrections): -5.31 eV/f.u. Its calculated volume is 315 Å³/cell. The raw total energy comes out at -4.608 eV per atom.

***

No. 4
Entry from the Alexandria database: a relaxed structure of ScBiPd4 (GGA-PBE).

The structure belongs to space group F-43m (No. 216); the cell edges are 7.605, 7.605 and 7.605 Å and the angles 90.00°, 90.00° and 90.00°. The distinct sites, in fractional coordinates, are Sc at (0.000, 0.000, 0.000), Bi at (0.250, 0.250, 0.250) and Pd at (0.126, 0.126, 0.626).

Its formation energy is -0.42 eV/atom. Its calculated volume is 440 Å³/cell. The raw total energy comes out at -5.585 eV per atom.

***

No. 5
Entry from the Alexandria database: a relaxed structure of Bi3Pd (GGA-PBE).

The structure belongs to space group Imm2 (No. 44); the cell edges are 3.398, 12.937 and 5.190 Å and the angles 90.00°, 90.00° and 90.00°. The distinct sites, in fractional coordinates, are Bi at (0.000, 0.000, 0.000), Bi at (0.000, 0.177, 0.435) and Pd at (0.000, 0.500, 0.047).

Its formation energy is -0.09 eV/atom. Its calculated volume is 228 Å³/cell. The raw total energy comes out at -4.299 eV per atom.

***

No. 6
Entry from the Alexandria database: a relaxed structure of Nd2DyTe (GGA-PBE).

The structure belongs to space group R-3m (No. 166, hexagonal axes); the cell edges are 3.9570, 3.9570 and 30.3357 Å and the angles 90.00°, 90.00° and 120.00°. The distinct sites, in fractional coordinates, are Nd at (0.0000, 0.0000, 0.2392), Dy at (0.0000, 0.0000, 0.0000) and Te at (0.0000, 0.0000, 0.5000).

As for the formation energy (no corrections): -2.09 eV/f.u. Its calculated volume is 411 Å³/cell. The raw total energy comes out at -4.843 eV per atom.